1.
The following is a DFT calculation (PBE) of a geometry-optimized Sm3Dy3Au4 structure.

## Properties
- energy relative to the elements (meV/atom) = -676
- theoretical density (g/cm3) = 10.9

a = 3.8470 Å, b = 11.7631 Å, c = 11.5777 Å
α = 90.00°, β = 90.00°, γ = 90.00°
Closest atoms and distances in Å follow each position.
Space group Amm2 (No. 38)
Symmetry-distinct sites (fractional):
Sm 0.0000 0.0000 0.0000 x2  6 Au 3.08-3.13
Sm 0.0000 0.1647 0.6591 x4  6 Au 3.09-3.14
Dy 0.0000 0.0000 0.3283 x2  6 Au 3.00-3.09
Dy 0.5000 0.2492 0.9100 x4  4 Au 3.15-3.28
Au 0.5000 0.0000 0.5267 x2  4 Dy 3.00-3.25, 1 Au 3.08, 4 Sm 3.13
Au 0.5000 0.0000 0.7925 x2  6 Sm 3.08-3.14, 1 Au 3.08, 2 Dy 3.23
Au 0.5000 0.1303 0.1666 x4  1 Au 3.06, 4 Sm 3.09-3.13, 4 Dy 3.09-3.28

***

2.
The following is a DFT calculation (PBE) of a geometry-optimized CrTcTe structure.

## Properties
- formation energy (no corrections) (eV/atom) = 0.147
- theoretical density (g/cm3) = 7.4

a = 3.1274 Å, b = 4.6510 Å, c = 9.3781 Å
α = 97.77°, β = 99.01°, γ = 109.64°
Closest atoms and distances in Å follow each position.
Space group P1 (No. 1)
Symmetry-distinct sites (fractional):
Cr 0.0000 0.0000 0.0000 x1  5 Tc 2.54-2.80, 3 Cr 2.57-2.68, 2 Te 2.77
Cr 0.2229 0.5369 0.9039 x1  2 Tc 2.56, 3 Cr 2.57-2.68, 3 Te 2.77-2.83
Tc 0.5644 0.9347 0.2083 x1  2 Cr 2.54-2.55, 3 Tc 2.60-2.64, 2 Te 2.77
Tc 0.7790 0.4523 0.1116 x1  5 Cr 2.56-2.80, 3 Tc 2.60-2.64
Te 0.3763 0.4080 0.3682 x1  5 Tc 2.77-2.98
Te 0.4111 0.0490 0.7594 x1  5 Cr 2.77-2.83

***

3.
The following is a DFT calculation (PBE) of a geometry-optimized Li2InPb structure.

## Properties
- energy relative to the elements (meV/atom) = -183
- theoretical density (g/cm3) = 6.1

a = 9.6157 Å, b = 3.2051 Å, c = 6.0142 Å
α = 90.00°, β = 99.54°, γ = 90.00°
Closest atoms and distances in Å follow each position.
Space group C2/m (No. 12)
Symmetry-distinct sites (fractional):
Li 0.2494 0.0000 0.2492 x4  3 In 3.04-3.07, 3 Pb 3.04-3.06, 4 Li 3.21-3.40
In 0.0000 0.0000 0.5000 x2  6 Li 3.04-3.07, 2 In 3.21
Pb 0.0000 0.5000 0.0000 x2  6 Li 3.04-3.06, 2 Pb 3.21

***

4.
The following is a DFT calculation (PBE) of a geometry-optimized ZrMnIr structure.

## Properties
- energy relative to the elements (meV/atom) = -579
- theoretical density (g/cm3) = 11.6

a = 5.0076 Å, b = 5.3671 Å, c = 7.1899 Å
α = 90.00°, β = 90.00°, γ = 90.00°
Closest atoms and distances in Å follow each position.
Space group Imma (No. 74)
Symmetry-distinct sites (fractional):
Zr 0.0000 0.2500 0.1217 x4  6 Mn 2.95-3.10, 6 Ir 2.97-3.03, 4 Zr 3.11-3.20
Mn 0.2500 0.2500 0.7500 x4  2 Mn 2.50, 4 Ir 2.57
Ir 0.0000 0.0000 0.5000 x4  4 Mn 2.57, 2 Ir 2.68

***

5.
The following is a DFT calculation (PBE) of a geometry-optimized KTa2PtO8 structure.

## Properties
- formation energy (no corrections) (eV/atom) = -1.890
- theoretical density (g/cm3) = 6.5

a = 8.4873 Å, b = 6.2933 Å, c = 7.1554 Å
α = 90.00°, β = 105.98°, γ = 90.00°
Closest atoms and distances in Å follow each position.
Space group C2/m (No. 12)
Symmetry-distinct sites (fractional):
K 0.0000 0.0000 0.0000 x2  4 O 2.64
Ta 0.0549 0.5000 0.2297 x4  5 O 1.90-2.09
Pt 0.0000 0.0000 0.5000 x2  6 O 1.94-1.99
O 0.0040 0.2299 0.6932 x8  1 Ta 1.90, 1 Pt 1.99
O 0.1492 0.5000 0.0135 x4  2 Ta 1.93-2.09
O 0.2378 0.0000 0.5776 x4  1 Ta 1.91, 1 Pt 1.94

***

6.
The following is a DFT calculation (PBE) of a geometry-optimized KNa10Tl structure.

## Properties
- energy relative to the elements (meV/atom) = 63
- theoretical density (g/cm3) = 1.6

a = 5.9609 Å, b = 6.8625 Å, c = 11.8779 Å
α = 90.00°, β = 90.00°, γ = 90.00°
Closest atoms and distances in Å follow each position.
Space group Pmmm (No. 47)
Symmetry-distinct sites (fractional):
K 0.0000 0.0000 0.0000 x1  10 Na 4.17-4.54
Na 0.0000 0.0000 0.3508 x2  9 Na 3.47-3.87, 2 Tl 3.86
Na 0.0000 0.5000 0.2002 x2  8 Na 3.50-3.87, 1 Tl 3.56
Na 0.5000 0.0000 0.5000 x1  8 Na 3.29-3.47
Na 0.5000 0.2575 0.2663 x4  8 Na 3.29-3.61
Na 0.5000 0.5000 0.0000 x1  8 Na 3.57-3.81
Tl 0.0000 0.5000 0.5000 x1  6 Na 3.56-3.86

***

7.
The following is a DFT calculation (PBE) of a geometry-optimized ThGa2Rh structure.

## Properties
- energy relative to the elements (meV/atom) = -513
- theoretical density (g/cm3) = 10.4

a = 3.2736 Å, b = 3.2736 Å, c = 7.0770 Å
α = 90.00°, β = 90.00°, γ = 90.00°
Closest atoms and distances in Å follow each position.
Space group P4/mmm (No. 123)
Symmetry-distinct sites (fractional):
Th 0.0000 0.0000 0.0000 x1  8 Ga 3.18, 4 Th 3.27, 2 Rh 3.54
Ga 0.5000 0.5000 0.3088 x2  4 Rh 2.68, 1 Ga 2.71
Rh 0.0000 0.0000 0.5000 x1  8 Ga 2.68

***

8.
The following is a DFT calculation (PBE) of a geometry-optimized Hf3RuPb structure.

## Properties
- energy relative to the elements (meV/atom) = 180
- theoretical density (g/cm3) = 11.3

a = 4.9922 Å, b = 4.9922 Å, c = 4.9922 Å
α = 90.00°, β = 90.00°, γ = 90.00°
Closest atoms and distances in Å follow each position.
Space group Pm-3m (No. 221)
Symmetry-distinct sites (fractional):
Hf 0.0000 0.0000 0.5000 x3  2 Ru 2.50
Ru 0.0000 0.0000 0.0000 x1  6 Hf 2.50
Pb 0.5000 0.5000 0.5000 x1  12 Hf 3.53

***

9.
The following is a DFT calculation (PBE) of a geometry-optimized MgGa2Pb2Au7 structure.

## Properties
- energy relative to the elements (meV/atom) = -190
- theoretical density (g/cm3) = 12.9

a = 6.1095 Å, b = 5.8531 Å, c = 14.1518 Å
α = 90.00°, β = 97.13°, γ = 90.00°
Closest atoms and distances in Å follow each position.
Space group C2/m (No. 12)
Symmetry-distinct sites (fractional):
Mg 0.0000 0.0000 0.0000 x2  12 Au 2.93-3.05
Ga 0.0727 0.5000 0.2586 x4  5 Au 2.58-2.66
Pb 0.1020 0.0000 0.3587 x4  4 Au 3.00-3.16, 3 Ga 3.25-3.36
Au 0.0000 0.5000 0.0000 x2  4 Mg 2.93-3.05, 8 Au 2.93
Au 0.1665 0.5000 0.4411 x4  1 Ga 2.58, 1 Au 2.79
Au 0.2084 0.2499 0.8552 x8  2 Ga 2.64-2.66, 4 Au 2.93, 2 Mg 2.93

***

10.
The following is a DFT calculation (PBE) of a geometry-optimized Pm3Mg2Zn2 structure.

## Properties
- energy relative to the elements (meV/atom) = -142
- theoretical density (g/cm3) = 5.6

a = 3.8860 Å, b = 6.2818 Å, c = 7.9239 Å
α = 100.22°, β = 90.10°, γ = 107.78°
Closest atoms and distances in Å follow each position.
Space group P-1 (No. 2)
Symmetry-distinct sites (fractional):
Pm 0.0000 0.0000 0.0000 x1  2 Zn 3.16, 4 Mg 3.43-3.44
Pm 0.3634 0.7251 0.6382 x2  5 Zn 3.12-3.38, 2 Mg 3.42-3.44
Mg 0.3008 0.6016 0.1458 x2  2 Zn 2.78, 2 Mg 3.09
Zn 0.0815 0.1605 0.6415 x2  1 Zn 2.67, 2 Mg 2.78

***

11.
The following is a DFT calculation (PBE) of a geometry-optimized KTaPdSe3 structure.

## Properties
- formation energy (no corrections) (eV/atom) = -0.852
- theoretical density (g/cm3) = 6.5

a = 8.2959 Å, b = 3.7431 Å, c = 10.1111 Å
α = 90.00°, β = 113.49°, γ = 90.00°
Closest atoms and distances in Å follow each position.
Space group P2_1/m (No. 11)
Symmetry-distinct sites (fractional):
K 0.2365 0.2500 0.2110 x2  7 Se 3.33-3.60
Ta 0.2087 0.7500 0.6740 x2  6 Se 2.53-2.74, 2 Pd 2.83
Pd 0.4223 0.2500 0.8798 x2  4 Se 2.50-2.71
Se 0.0448 0.7500 0.3790 x2  3 Ta 2.70-2.74
Se 0.2362 0.7500 0.9328 x2  1 Ta 2.53, 3 Pd 2.61-2.71
Se 0.4007 0.2500 0.6256 x2  1 Pd 2.50, 2 Ta 2.63

***

12.
The following is a DFT calculation (PBE) of a geometry-optimized Tb2PaRu2 structure.

## Properties
- energy relative to the elements (meV/atom) = -430
- theoretical density (g/cm3) = 10.5

a = 10.2407 Å, b = 6.6616 Å, c = 7.0688 Å
α = 90.00°, β = 98.47°, γ = 90.00°
Closest atoms and distances in Å follow each position.
Space group P2_1/c (No. 14)
Symmetry-distinct sites (fractional):
Tb 0.0203 0.2436 0.4335 x4  3 Ru 2.86-3.05
Tb 0.2810 0.6541 0.8785 x4  5 Ru 2.91-3.15
Pa 0.3647 0.1705 0.0001 x4  2 Ru 2.42-2.53
Ru 0.1985 0.0465 0.7251 x4  1 Pa 2.53
Ru 0.4873 0.5640 0.2200 x4  1 Pa 2.42

***

Repeat the eleventh record exactly.
The following is a DFT calculation (PBE) of a geometry-optimized KTaPdSe3 structure.

## Properties
- formation energy (no corrections) (eV/atom) = -0.852
- theoretical density (g/cm3) = 6.5

a = 8.2959 Å, b = 3.7431 Å, c = 10.1111 Å
α = 90.00°, β = 113.49°, γ = 90.00°
Closest atoms and distances in Å follow each position.
Space group P2_1/m (No. 11)
Symmetry-distinct sites (fractional):
K 0.2365 0.2500 0.2110 x2  7 Se 3.33-3.60
Ta 0.2087 0.7500 0.6740 x2  6 Se 2.53-2.74, 2 Pd 2.83
Pd 0.4223 0.2500 0.8798 x2  4 Se 2.50-2.71
Se 0.0448 0.7500 0.3790 x2  3 Ta 2.70-2.74
Se 0.2362 0.7500 0.9328 x2  1 Ta 2.53, 3 Pd 2.61-2.71
Se 0.4007 0.2500 0.6256 x2  1 Pd 2.50, 2 Ta 2.63

***

- Which of these has the highest theoretical density?
  MgGa2Pb2Au7